The following is a DFT calculation (PBE with a Hubbard U) of crystalline CrGa2AsO8 at its relaxed geometry.

Cell and atoms, written as CIF:
```
data_CrGa2AsO8
_chemical_formula_sum 'Cr1 Ga2 As1 O8'
_symmetry_space_group_name_H-M 'P -3 m 1'
_symmetry_Int_Tables_number 164
_symmetry_space_group_name_Hall '-P 3 2"'
_cell_length_a 5.6162
_cell_length_b 5.6162
_cell_length_c 5.3658
_cell_angle_alpha 90.00
_cell_angle_beta 90.00
_cell_angle_gamma 120.00
loop_
_atom_site_label
_atom_site_type_symbol
_atom_site_fract_x
_atom_site_fract_y
_atom_site_fract_z
Cr1 Cr 0.0000 0.0000 0.0000
Ga1 Ga 0.3333 0.6667 0.7947
As1 As 0.0000 0.0000 0.5000
O1 O 0.1451 0.2901 0.7263
O2 O 0.3333 0.6667 0.1388
```

Computed properties:
VASP energy (eV/atom): -5.902